Entry 1:
# LiZn2Si GGA-PBEsol optimized geometry
# * formation energy from raw total energies: -89 meV/atom
# * crystal system: tetragonal
# * calculated total energy: -11.23 eV/cell
data_LiZn2Si
_symmetry_space_group_name_H-M 'P 1'
_symmetry_Int_Tables_number 1
_cell_length_a 3.725
_cell_length_b 3.840
_cell_length_c 3.840
_cell_angle_alpha 90.00
_cell_angle_beta 90.00
_cell_angle_gamma 90.00
loop_
_symmetry_equiv_pos_as_xyz
'x,y,z'
loop_
_atom_site_label
_atom_site_fract_x
_atom_site_fract_y
_atom_site_fract_z
Li1 0.500 0.500 0.500
Si1 0.500 0.000 0.000
Zn1 0.000 0.500 0.000
Zn2 0.000 0.000 0.500

Entry 2:
# LiZn2Si GGA-PBEsol optimized geometry
# * formation energy from raw total energies: -22 meV/atom
# * crystal system: tetragonal
# * calculated total energy: -10.96 eV/cell
data_LiZn2Si
_symmetry_space_group_name_H-M 'P 1'
_symmetry_Int_Tables_number 1
_cell_length_a 3.304
_cell_length_b 3.304
_cell_length_c 5.237
_cell_angle_alpha 90.00
_cell_angle_beta 90.00
_cell_angle_gamma 90.00
loop_
_symmetry_equiv_pos_as_xyz
'x,y,z'
loop_
_atom_site_label
_atom_site_fract_x
_atom_site_fract_y
_atom_site_fract_z
Zn1 0.000 0.000 0.753
Zn2 0.000 0.000 0.247
Si1 0.500 0.500 0.500
Li1 0.500 0.500 0.000

Entry 3:
# Li2ZnSi2 GGA-PBEsol optimized geometry
# * formation energy from raw total energies: 83 meV/atom
# * crystal system: tetragonal
# * calculated total energy: -33.19 eV/cell
data_Li2ZnSi2
_symmetry_space_group_name_H-M 'P 1'
_symmetry_Int_Tables_number 1
_cell_length_a 2.497
_cell_length_b 7.641
_cell_length_c 7.641
_cell_angle_alpha 90.00
_cell_angle_beta 90.00
_cell_angle_gamma 90.00
loop_
_symmetry_equiv_pos_as_xyz
'x,y,z'
loop_
_atom_site_label
_atom_site_fract_x
_atom_site_fract_y
_atom_site_fract_z
Zn1 0.000 0.500 0.500
Zn2 0.000 0.000 0.000
Li1 0.000 0.889 0.611
Li2 0.000 0.611 0.111
Li3 0.000 0.111 0.389
Li4 0.000 0.389 0.889
Si1 0.500 0.687 0.813
Si2 0.500 0.313 0.187
Si3 0.500 0.813 0.313
Si4 0.500 0.187 0.687

Entry 4:
# LiZn2Si2 GGA-PBEsol optimized geometry
# * formation energy from raw total energies: -57 meV/atom
# * crystal system: tetragonal
# * calculated total energy: -16.91 eV/cell
data_LiZn2Si2
_symmetry_space_group_name_H-M 'P 1'
_symmetry_Int_Tables_number 1
_cell_length_a 3.994
_cell_length_b 3.994
_cell_length_c 5.889
_cell_angle_alpha 109.82
_cell_angle_beta 109.82
_cell_angle_gamma 90.00
loop_
_symmetry_equiv_pos_as_xyz
'x,y,z'
loop_
_atom_site_label
_atom_site_fract_x
_atom_site_fract_y
_atom_site_fract_z
Li1 0.000 0.000 0.000
Zn1 0.750 0.250 0.500
Zn2 0.250 0.750 0.500
Si1 0.610 0.610 0.220
Si2 0.390 0.390 0.780

Which formula does entry 4 have? LiZn2Si2

Repeat the third record exactly.
# Li2ZnSi2 GGA-PBEsol optimized geometry
# * formation energy from raw total energies: 83 meV/atom
# * crystal system: tetragonal
# * calculated total energy: -33.19 eV/cell
data_Li2ZnSi2
_symmetry_space_group_name_H-M 'P 1'
_symmetry_Int_Tables_number 1
_cell_length_a 2.497
_cell_length_b 7.641
_cell_length_c 7.641
_cell_angle_alpha 90.00
_cell_angle_beta 90.00
_cell_angle_gamma 90.00
loop_
_symmetry_equiv_pos_as_xyz
'x,y,z'
loop_
_atom_site_label
_atom_site_fract_x
_atom_site_fract_y
_atom_site_fract_z
Zn1 0.000 0.500 0.500
Zn2 0.000 0.000 0.000
Li1 0.000 0.889 0.611
Li2 0.000 0.611 0.111
Li3 0.000 0.111 0.389
Li4 0.000 0.389 0.889
Si1 0.500 0.687 0.813
Si2 0.500 0.313 0.187
Si3 0.500 0.813 0.313
Si4 0.500 0.187 0.687